1.
## Sm2HoBi3 (PBE)

Data for crystalline Sm2HoBi3 at its relaxed geometry.

Structure (CIF):
```
data_Sm2HoBi3
_chemical_formula_sum 'Sm2 Ho1 Bi3'
_symmetry_space_group_name_H-M 'P -3 m 1'
_symmetry_Int_Tables_number 164
_symmetry_space_group_name_Hall '-P 3 2"'
_cell_length_a 4.5092
_cell_length_b 4.5092
_cell_length_c 11.0601
_cell_angle_alpha 90.00
_cell_angle_beta 90.00
_cell_angle_gamma 120.00
loop_
_atom_site_label
_atom_site_fract_x
_atom_site_fract_y
_atom_site_fract_z
Sm1 0.3333 0.6667 0.3299
Ho1 0.0000 0.0000 0.0000
Bi1 0.0000 0.0000 0.5000
Bi2 0.3333 0.6667 0.8388
```

Output
Raw total energy in eV/atom: -5.2703

=====

2.
## Sm3Ho2Bi3 (PBE)

Data for crystalline Sm3Ho2Bi3 at its relaxed geometry.

Structure (CIF):
```
data_Sm3Ho2Bi3
_chemical_formula_sum 'Sm6 Ho4 Bi6'
_symmetry_space_group_name_H-M 'P 63/m c m'
_symmetry_Int_Tables_number 193
_symmetry_space_group_name_Hall '-P 6c 2'
_cell_length_a 9.2590
_cell_length_b 9.2590
_cell_length_c 6.4497
_cell_angle_alpha 90.00
_cell_angle_beta 90.00
_cell_angle_gamma 120.00
loop_
_atom_site_label
_atom_site_fract_x
_atom_site_fract_y
_atom_site_fract_z
Sm1 0.0000 0.2453 0.2500
Ho1 0.3333 0.6667 0.0000
Bi1 0.0000 0.3921 0.7500
```

Output
Raw total energy in eV/atom: -5.1676

=====

3.
## SmHoBi2Te2 (PBE)

Data for crystalline SmHoBi2Te2 at its relaxed geometry.

Structure (CIF):
```
data_SmHoBi2Te2
_chemical_formula_sum 'Sm1 Ho1 Bi2 Te2'
_symmetry_space_group_name_H-M 'P 4 m m'
_symmetry_Int_Tables_number 99
_symmetry_space_group_name_Hall 'P 4 -2'
_cell_length_a 4.410
_cell_length_b 4.410
_cell_length_c 9.397
_cell_angle_alpha 90.00
_cell_angle_beta 90.00
_cell_angle_gamma 90.00
loop_
_atom_site_label
_atom_site_fract_x
_atom_site_fract_y
_atom_site_fract_z
Sm1 0.000 0.000 0.000
Ho1 0.500 0.500 0.569
Bi1 0.000 0.500 0.286
Te1 0.000 0.000 0.655
Te2 0.500 0.500 0.905
```

Output
Raw total energy in eV/atom: -4.9603

=====

4.
## HoSnBi (PBE)

Data for crystalline HoSnBi at its relaxed geometry.

Structure (CIF):
```
data_HoSnBi
_chemical_formula_sum 'Ho4 Sn4 Bi4'
_symmetry_space_group_name_H-M 'F -4 3 m'
_symmetry_Int_Tables_number 216
_symmetry_space_group_name_Hall 'F -4 2 3'
_cell_length_a 7.377
_cell_length_b 7.377
_cell_length_c 7.377
_cell_angle_alpha 90.00
_cell_angle_beta 90.00
_cell_angle_gamma 90.00
loop_
_atom_site_label
_atom_site_fract_x
_atom_site_fract_y
_atom_site_fract_z
Ho1 0.000 0.000 0.000
Sn1 0.250 0.250 0.750
Bi1 0.000 0.000 0.500
```

Output
Excess energy over the best structure of this formula in the dataset in eV/f.u.: 0.00

=====

5.
## Ho5Sn2Bi2 (PBE)

Data for crystalline Ho5Sn2Bi2 at its relaxed geometry.

Structure (CIF):
```
data_Ho5Sn2Bi2
_chemical_formula_sum 'Ho20 Sn8 Bi8'
_symmetry_space_group_name_H-M 'C m c e'
_symmetry_Int_Tables_number 64
_symmetry_space_group_name_Hall '-C 2ac 2'
_cell_length_a 15.517
_cell_length_b 8.168
_cell_length_c 8.193
_cell_angle_alpha 90.00
_cell_angle_beta 90.00
_cell_angle_gamma 90.00
loop_
_atom_site_label
_atom_site_fract_x
_atom_site_fract_y
_atom_site_fract_z
Ho1 0.000 0.000 0.000
Ho2 0.131 0.164 0.337
Sn1 0.000 0.138 0.637
Bi1 0.204 0.000 0.000
```

Output
Raw total energy in eV/atom: -5.1166

=====

6.
## HoTaBi (PBE)

Data for crystalline HoTaBi at its relaxed geometry.

Structure (CIF):
```
data_HoTaBi
_chemical_formula_sum 'Ho4 Ta4 Bi4'
_symmetry_space_group_name_H-M 'F -4 3 m'
_symmetry_Int_Tables_number 216
_symmetry_space_group_name_Hall 'F -4 2 3'
_cell_length_a 6.889
_cell_length_b 6.889
_cell_length_c 6.889
_cell_angle_alpha 90.00
_cell_angle_beta 90.00
_cell_angle_gamma 90.00
loop_
_atom_site_label
_atom_site_fract_x
_atom_site_fract_y
_atom_site_fract_z
Ho1 0.000 0.000 0.000
Ta1 0.000 0.000 0.500
Bi1 0.250 0.250 0.250
```

Output
Excess energy over the best structure of this formula in the dataset in eV/f.u.: 0.00

=====

7.
## HoTaBi (PBE)

Data for crystalline HoTaBi at its relaxed geometry.

Structure (CIF):
```
data_HoTaBi
_chemical_formula_sum 'Ho4 Ta4 Bi4'
_symmetry_space_group_name_H-M 'F -4 3 m'
_symmetry_Int_Tables_number 216
_symmetry_space_group_name_Hall 'F -4 2 3'
_cell_length_a 7.141
_cell_length_b 7.141
_cell_length_c 7.141
_cell_angle_alpha 90.00
_cell_angle_beta 90.00
_cell_angle_gamma 90.00
loop_
_atom_site_label
_atom_site_fract_x
_atom_site_fract_y
_atom_site_fract_z
Ho1 0.000 0.000 0.000
Ta1 0.250 0.250 0.250
Bi1 0.250 0.250 0.750
```

Output
Excess energy over the best structure of this formula in the dataset in eV/f.u.: 1.26

=====

8.
## TbHo2Bi3 (PBE)

Data for crystalline TbHo2Bi3 at its relaxed geometry.

Structure (CIF):
```
data_TbHo2Bi3
_chemical_formula_sum 'Tb1 Ho2 Bi3'
_symmetry_space_group_name_H-M 'P -3 m 1'
_symmetry_Int_Tables_number 164
_symmetry_space_group_name_Hall '-P 3 2"'
_cell_length_a 4.4491
_cell_length_b 4.4491
_cell_length_c 10.9711
_cell_angle_alpha 90.00
_cell_angle_beta 90.00
_cell_angle_gamma 120.00
loop_
_atom_site_label
_atom_site_fract_x
_atom_site_fract_y
_atom_site_fract_z
Tb1 0.0000 0.0000 0.0000
Ho1 0.3333 0.6667 0.3333
Bi1 0.0000 0.0000 0.5000
Bi2 0.3333 0.6667 0.8330
```

Output
Raw total energy in eV/atom: -5.1884